Compound: HoCo3Cu4O12
Source: Alexandria
Functional: PBE+U
Structure: optimized geometry

M_tot ... 0.306 μB/atom
Final energy ... -114.92 eV/cell
SG ... Im-3

a = 6.340 Å, b = 6.340 Å, c = 6.340 Å
α = 109.47°, β = 109.47°, γ = 109.47°
Atoms (fractional coordinates):
1 Ho 0.000 0.000 0.000
2 Co 0.000 0.500 0.500
3 Co 0.500 0.000 0.500
4 Co 0.500 0.500 0.000
5 Cu 0.000 0.000 0.500
6 Cu 0.000 0.500 0.000
7 Cu 0.500 0.000 0.000
8 Cu 0.500 0.500 0.500
9 O 0.137 0.308 0.829
10 O 0.171 0.479 0.308
11 O 0.171 0.863 0.692
12 O 0.308 0.171 0.479
13 O 0.308 0.829 0.137
14 O 0.479 0.308 0.171
15 O 0.521 0.692 0.829
16 O 0.692 0.171 0.863
17 O 0.692 0.829 0.521
18 O 0.829 0.137 0.308
19 O 0.829 0.521 0.692
20 O 0.863 0.692 0.171